No. 1
Compound: BaBeTc2
Source: Alexandria via LeMat-Bulk
Functional: PBE
Structure: relaxed

Results
- Symmetry: C2/m, No. 12
- Final energy: -25.3 eV/cell
- Calculated formation energy: 281 meV/atom

Cell and atoms, written as POSCAR:
```
BaBeTc2
1.0
3.658 -2.113 0.000
3.658 2.113 0.000
-2.450 0.000 6.000
Ba Be Tc
1 1 2
Direct
0.000 0.000 0.000
0.500 0.500 0.500
0.181 0.181 0.543
0.819 0.819 0.457
```

No. 2
Compound: SmH2Br3
Source: Alexandria via LeMat-Bulk
Functional: PBE
Structure: relaxed

Results
- Symmetry: P6_3/mmc, No. 194
- Final energy: -38.5 eV/cell

Cell and atoms, written as POSCAR:
```
SmH2Br3
1.0
8.034 0.000 0.000
-4.017 6.957 0.000
0.000 0.000 7.568
Sm H Br
2 4 6
Direct
0.000 0.000 0.000
0.000 0.000 0.500
0.333 0.667 0.049
0.333 0.667 0.451
0.667 0.333 0.549
0.667 0.333 0.951
0.157 0.314 0.750
0.157 0.843 0.750
0.314 0.157 0.250
0.686 0.843 0.750
0.843 0.157 0.250
0.843 0.686 0.250
```

No. 3
Compound: VCoAsBr2
Source: Alexandria via LeMat-Bulk
Functional: PBE
Structure: relaxed

Results
- Symmetry: P4/mmm, No. 123
- Final energy: -20.1 eV/cell
- Offset from the most stable computed form: 204 meV per atom
- Uncorrected formation energy: 4.12 eV/f.u.

Cell and atoms, written as POSCAR:
```
VCoAsBr2
1.0
4.916 0.000 0.000
0.000 4.916 0.000
0.000 0.000 4.494
V Co As Br
1 1 1 2
Direct
0.000 0.000 0.000
0.500 0.500 0.500
0.500 0.500 0.000
0.000 0.500 0.500
0.500 0.000 0.500
```

No. 4
Compound: TbThTlIr
Source: Alexandria via LeMat-Bulk
Functional: PBE
Structure: relaxed

Results
- Symmetry: R3m, No. 160
- Final energy: -25.5 eV/cell
- Calculated formation energy: -562 meV/atom

Cell and atoms, written as POSCAR:
```
TbThTlIr
1.0
2.042 1.179 8.096
-2.042 1.179 8.096
0.000 -2.357 8.096
Tb Th Tl Ir
1 1 1 1
Direct
0.000 0.000 0.000
0.794 0.794 0.794
0.234 0.234 0.234
0.398 0.398 0.398
```

Mass density list, top to bottom, in g/cm³: 6.13 3.08 5.27 11.19